# 1
Here is BeInTc2 after structural relaxation from Alexandria. Energies are from PBE-GGA.

```
BeInTc2
1.0
2.562 -4.067 0.000
2.562 4.067 0.000
0.000 0.000 2.912
Be In Tc
1 1 2
direct
0.000 0.000 0.000
0.500 0.500 0.000
0.000 0.500 0.500
0.500 0.000 0.500
```

- Space-group type: No. 65
- Offset from the most stable computed form: 496 meV/atom
- Formation energy from the elements: 1.9 eV per formula unit

# 2
Here is LaMg2ZnAg4 after structural relaxation from Alexandria. Energies are from PBE-GGA.

```
LaMg2ZnAg4
1.0
2.326 1.343 9.035
-2.326 1.343 9.035
0.000 -2.686 9.035
La Mg Zn Ag
1 2 1 4
direct
0.000 0.000 0.000
0.239 0.239 0.239
0.761 0.761 0.761
0.500 0.500 0.500
0.131 0.131 0.131
0.401 0.401 0.401
0.599 0.599 0.599
0.869 0.869 0.869
```

- Space-group type: No. 166
- Formation energy from the elements: -1.4 eV per formula unit